#A
VASP calculation (PBE-GGA) on a relaxed HfMnPS2 crystal.

Cell lengths 4.392, 4.392, 4.611 Å; angles 90.00, 90.00, 90.00 degrees
Space group P4/mmm (No. 123)
Unique sites:
Hf  0.000  0.000  0.000
Mn  0.500  0.500  0.500
P  0.500  0.500  0.000
S  0.000  0.500  0.500

Computed properties:
- mass density (kg/m3) = 6133
- DOS(E_F) (states/eV per cell) = 2.3



#B
VASP calculation (PBE-GGA) on a relaxed HfMnPS2 crystal.

Cell lengths 4.874, 4.874, 5.049 Å; angles 90.00, 90.00, 90.00 degrees
Space group P4/mmm (No. 123)
Unique sites:
Hf  0.000  0.000  0.000
Mn  0.500  0.500  0.500
P  0.000  0.000  0.500
S  0.000  0.500  0.000

Computed properties:
- mass density (kg/m3) = 4548
- DOS(E_F) (states/eV per cell) = 3.1



Energy relative to the most stable one, in kJ/mol of atoms: #A 4.4; #B 0.0



#A
VASP calculation (PBE-GGA) on a relaxed HfPaMn2 crystal.

Cell lengths 6.490, 6.490, 6.490 Å; angles 90.00, 90.00, 90.00 degrees
Space group Fm-3m (No. 225)
Unique sites:
Hf  0.000  0.000  0.000
Pa  0.000  0.000  0.500
Mn  0.250  0.250  0.250

Computed properties:
- mass density (kg/m3) = 12621
- DOS(E_F) (states/eV per cell) = 19.3



#B
VASP calculation (PBE-GGA) on a relaxed HfPaMn2 crystal.

Cell lengths 3.2606, 3.2606, 22.8364 Å; angles 90.00, 90.00, 120.00 degrees
Space group R-3m (No. 166, hexagonal axes)
Unique sites:
Hf  0.0000  0.0000  0.0000
Pa  0.0000  0.0000  0.5000
Mn  0.0000  0.0000  0.2450

Computed properties:
- mass density (kg/m3) = 12306
- DOS(E_F) (states/eV per cell) = 15.4



#C
VASP calculation (PBE-GGA) on a relaxed HfPaMn2 crystal.

Cell lengths 4.601, 4.601, 3.217 Å; angles 90.00, 90.00, 90.00 degrees
Space group P4/mmm (No. 123)
Unique sites:
Hf  0.000  0.000  0.000
Pa  0.500  0.500  0.000
Mn  0.000  0.500  0.500

Computed properties:
- mass density (kg/m3) = 12663
- DOS(E_F) (states/eV per cell) = 5.5



Energy relative to the most stable one, in kJ/mol of atoms: #A 1.9; #B 26.9; #C 0.0



#A
VASP calculation (PBE-GGA) on a relaxed Hf2PaMn crystal.

Cell lengths 3.171, 3.171, 7.943 Å; angles 90.00, 90.00, 90.00 degrees
Space group P4/mmm (No. 123)
Unique sites:
Hf  0.000  0.000  0.192
Pa  0.500  0.500  0.500
Mn  0.500  0.500  0.000

Computed properties:
- mass density (kg/m3) = 13369
- DOS(E_F) (states/eV per cell) = 5.6



#B
VASP calculation (PBE-GGA) on a relaxed Hf2PaMn crystal.

Cell lengths 6.543, 8.920, 5.681 Å; angles 90.00, 90.00, 90.00 degrees
Space group Pnma (No. 62)
Unique sites:
Hf  0.173  0.061  0.164
Pa  0.050  0.250  0.656
Mn  0.136  0.750  0.970

Computed properties:
- mass density (kg/m3) = 12880
- DOS(E_F) (states/eV per cell) = 24.2



Energy relative to the most stable one, in kJ/mol of atoms: #A 9.4; #B 0.0